No. 1
The following is a DFT calculation (GGA-PBE) of a geometry-optimized Tl2CdP structure.

Summary:
The crystal system is tetragonal. The symmetry is No. 123. The calculated density is 9.069 g cm⁻³. The energy above the most stable polymorph in this dataset is 0.187 eV per atom. The calculation puts the total magnetization at 0.000 μB/f.u. As for the formation energy: 267 meV/atom.

Cell: 4.467 4.475 5.058 Å, 90.00 90.00 90.00°
Fractional coordinates of all 4 atoms:
1 Cd 0.500 0.000 0.500
2 P 0.000 0.500 0.500
3 Tl 0.000 0.000 0.000
4 Tl 0.500 0.500 0.000

=====

No. 2
The following is a DFT calculation (GGA-PBE) of a geometry-optimized CaSc2Co structure.

Summary:
The crystal system is cubic. The symmetry is No. 225. The calculated density is 3.851 g cm⁻³. The energy above the most stable polymorph in this dataset is 0.333 eV per atom. The calculation puts the total magnetization at 0.000 μB/f.u. As for the formation energy: 247 meV/atom.

Cell: 4.866 4.866 4.866 Å, 60.00 60.00 60.00°
Fractional coordinates of all 4 atoms:
1 Sc 0.250 0.250 0.250
2 Sc 0.750 0.750 0.750
3 Ca 0.000 0.000 0.000
4 Co 0.500 0.500 0.500

=====

No. 3
The following is a DFT calculation (GGA-PBE) of a geometry-optimized Nd2AlCd structure.

Summary:
The crystal system is tetragonal. The symmetry is No. 123. The calculated density is 6.543 g cm⁻³. The calculation puts the total magnetization at 0.000 μB/f.u. As for the formation energy: -344 meV/atom.

Cell: 3.625 3.625 8.263 Å, 90.00 90.00 90.00°
Fractional coordinates of all 4 atoms:
1 Nd 0.000 0.000 0.763
2 Nd 0.000 0.000 0.237
3 Al 0.500 0.500 0.000
4 Cd 0.500 0.500 0.500

=====

No. 4
The following is a DFT calculation (GGA-PBE) of a geometry-optimized MgCo2ReSe structure.

Summary:
The crystal system is tetragonal. As for the formation energy (no corrections): 76.4 kJ/mol of atoms. The symmetry is No. 123. The calculated density is 7.945 g cm⁻³. The calculation puts the total magnetization at 1.078 μB/f.u.

Cell: 4.296 4.614 4.296 Å, 90.00 90.00 90.00°
Last column: magnetic moment on the atom in μB.
Fractional coordinates of all 5 atoms:
1 Re 0.000 0.500 0.000  -0.24
2 Mg 0.500 0.500 0.500  0.00
3 Co 0.000 0.000 0.500  0.71
4 Co 0.500 0.000 0.000  0.75
5 Se 0.000 0.000 0.000  -0.01

=====

No. 5
The following is a DFT calculation (GGA-PBE) of a geometry-optimized La4YTl structure.

Summary:
The crystal system is monoclinic. The symmetry is No. 15. The calculated density is 7.063 g cm⁻³. The energy above the most stable polymorph in this dataset is 0.005 eV per atom. The calculation puts the total magnetization at 0.000 μB/f.u. As for the formation energy: -113 meV/atom.

Cell: 6.250 6.250 12.340 Å, 105.92 105.92 60.85°
Fractional coordinates of all 12 atoms:
1 La 0.257 0.395 0.751
2 La 0.150 0.701 0.511
3 La 0.850 0.299 0.489
4 La 0.395 0.257 0.251
5 La 0.605 0.743 0.749
6 La 0.299 0.850 0.989
7 La 0.701 0.150 0.011
8 La 0.743 0.605 0.249
9 Y 0.500 0.000 0.500
10 Y 0.000 0.500 0.000
11 Tl 0.096 0.904 0.250
12 Tl 0.904 0.096 0.750

=====

No. 6
The following is a DFT calculation (GGA-PBE) of a geometry-optimized Cr2TcHRu structure.

Summary:
The crystal system is tetragonal. The symmetry is No. 123. The calculated density is 9.297 g cm⁻³. The energy above the most stable polymorph in this dataset is 0.000 eV per atom. The calculation puts the total magnetization at 0.000 μB/f.u.

Cell: 3.805 3.805 3.751 Å, 90.00 90.00 90.00°
Fractional coordinates of all 5 atoms:
1 Ru 0.000 0.000 0.500
2 Tc 0.500 0.500 0.500
3 H 0.000 0.000 0.000
4 Cr 0.000 0.500 0.000
5 Cr 0.500 0.000 0.000

=====

No. 7
The following is a DFT calculation (GGA-PBE) of a geometry-optimized KLaRu2 structure.

Summary:
The crystal system is orthorhombic. The symmetry is No. 71. The calculated density is 7.499 g cm⁻³. The energy above the most stable polymorph in this dataset is 0.558 eV per atom. The calculation puts the total magnetization at 0.000 μB/f.u. As for the formation energy: 844 meV/atom.

Cell: 5.683 5.683 5.683 Å, 146.12 123.48 67.55°
Fractional coordinates of all 4 atoms:
1 K 0.250 0.750 0.500
2 La 0.750 0.250 0.500
3 Ru 0.973 0.973 0.000
4 Ru 0.527 0.527 0.000

=====

No. 8
The following is a DFT calculation (GGA-PBE) of a geometry-optimized Li2La4Tl structure.

Summary:
The crystal system is monoclinic. The symmetry is No. 14. The calculated density is 6.147 g cm⁻³. The calculation puts the total magnetization at 0.000 μB/f.u. As for the formation energy: -78 meV/atom.

Cell: 9.630 6.782 11.131 Å, 144.89 90.00 90.00°
Fractional coordinates of all 14 atoms:
1 Li 0.003 0.681 0.342
2 Li 0.997 0.319 0.658
3 Li 0.503 0.819 0.658
4 Li 0.497 0.181 0.342
5 La 0.836 0.748 0.127
6 La 0.832 0.754 0.622
7 La 0.668 0.254 0.622
8 La 0.664 0.248 0.127
9 La 0.336 0.752 0.873
10 La 0.332 0.746 0.378
11 La 0.168 0.246 0.378
12 La 0.164 0.252 0.873
13 Tl 0.000 0.000 0.000
14 Tl 0.500 0.500 0.000

=====

- Which formula does entry 8 have?
  Li2La4Tl